1.
DFT (meta-GGA SCAN) results for ZrMnBr at its PBEsol-relaxed geometry.

Summary:
Formation energy (no corrections) in eV/atom: 0.499
Crystal system: cubic
E in eV/atom: -22.306
DOS at the Fermi energy in states/eV/f.u.: 1.62

Lattice parameters (Å, degrees): 4.133 4.133 4.133 60.00 60.00 60.00
Atoms (fractional coordinates):
Zr1 0.000 0.000 0.000
Mn1 0.750 0.750 0.750
Br1 0.500 0.500 0.500

---

2.
DFT (meta-GGA SCAN) results for CdSnB3 at its PBEsol-relaxed geometry.

Summary:
Crystal system: cubic
E in eV/atom: -15.509
DOS at the Fermi energy in states/eV/f.u.: 2.36

Lattice parameters (Å, degrees): 4.386 4.386 4.386 90.00 90.00 90.00
Atoms (fractional coordinates):
Cd1 0.000 0.000 0.000
Sn1 0.500 0.500 0.500
B1 0.000 0.000 0.500
B2 0.000 0.500 0.000
B3 0.500 0.000 0.000

---

3.
DFT (meta-GGA SCAN) results for TaZn2In at its PBEsol-relaxed geometry.

Summary:
Crystal system: monoclinic
E in eV/atom: -31.600
DOS at the Fermi energy in states/eV/f.u.: 1.64

Lattice parameters (Å, degrees): 5.490 5.490 2.821 103.20 103.20 116.94
Atoms (fractional coordinates):
Ta1 0.000 0.000 0.000
Zn1 0.000 0.500 0.500
Zn2 0.500 0.000 0.500
In1 0.500 0.500 0.000

---

4.
DFT (meta-GGA SCAN) results for Ge2B2Se at its PBEsol-relaxed geometry.

Summary:
Formation energy (no corrections) in eV/atom: 0.847
Crystal system: tetragonal
E in eV/atom: -13.776
DOS at the Fermi energy in states/eV/f.u.: 2.08

Lattice parameters (Å, degrees): 5.066 5.066 5.066 133.02 133.02 68.62
Atoms (fractional coordinates):
Ge1 0.250 0.750 0.500
Ge2 0.750 0.250 0.500
B1 0.102 0.102 0.000
B2 0.898 0.898 0.000
Se1 0.500 0.500 0.000

---

5.
DFT (meta-GGA SCAN) results for MoPb2Br at its PBEsol-relaxed geometry.

Summary:
Formation energy (no corrections) in eV/atom: 0.676
Crystal system: cubic
E in eV/atom: -50.801
DOS at the Fermi energy in states/eV/f.u.: 1.66

Lattice parameters (Å, degrees): 5.179 5.179 5.179 60.00 60.00 60.00
Atoms (fractional coordinates):
Mo1 0.000 0.000 0.000
Pb1 0.250 0.250 0.250
Pb2 0.500 0.500 0.500
Br1 0.750 0.750 0.750

---

6.
DFT (meta-GGA SCAN) results for CsLiBr2 at its PBEsol-relaxed geometry.

Summary:
Formation energy (no corrections) in eV/atom: -1.861
Crystal system: tetragonal
E in eV/atom: -21.641
DOS at the Fermi energy in states/eV/f.u.: 0.00

Lattice parameters (Å, degrees): 5.107 5.107 9.820 90.00 90.00 90.00
Atoms (fractional coordinates):
Cs1 0.250 0.250 0.200
Cs2 0.750 0.750 0.800
Li1 0.250 0.250 0.584
Li2 0.750 0.750 0.416
Br1 0.250 0.250 0.836
Br2 0.250 0.750 0.500
Br3 0.750 0.250 0.500
Br4 0.750 0.750 0.164